[1]
Compound: Nd3Cu2Pt7
Source: Alexandria
Functional: PBE
Structure: relaxed

Properties
- energy of formation (meV per atom) = -862.9

a = 5.4872 Å, b = 5.4872 Å, c = 9.1863 Å
α = 72.62°, β = 72.62°, γ = 60.00°
Last column: nearest neighbours and their distance in Å.
Fractional coordinates of all 12 atoms:
Nd  0.0000  0.0000  0.0000  6 Cu 3.17, 12 Pt 3.44
Nd  0.8608  0.8608  0.4176  12 Pt 3.14-3.33, 3 Nd 3.47
Nd  0.1392  0.1392  0.5824  12 Pt 3.14-3.33, 3 Nd 3.47
Cu  0.6665  0.6665  0.0005  6 Pt 2.61-2.62
Cu  0.3335  0.3335  0.9995  6 Pt 2.61-2.62
Pt  0.5000  0.5000  0.5000  6 Pt 2.74
Pt  0.9224  0.4181  0.2414  2 Cu 2.61-2.62, 5 Pt 2.72-2.77
Pt  0.4181  0.9224  0.2414  2 Cu 2.61-2.62, 5 Pt 2.72-2.77
Pt  0.4181  0.4181  0.2414  2 Cu 2.61-2.62, 5 Pt 2.72-2.77
Pt  0.0776  0.5819  0.7586  2 Cu 2.61-2.62, 5 Pt 2.72-2.77
Pt  0.5819  0.5819  0.7586  2 Cu 2.61-2.62, 5 Pt 2.72-2.77
Pt  0.5819  0.0776  0.7586  2 Cu 2.61-2.62, 5 Pt 2.72-2.77

=====

[2]
Compound: Nd3Cu2Pt4
Source: Alexandria
Functional: PBE
Structure: relaxed

Properties
- energy of formation (meV per atom) = -823.4

a = 4.4673 Å, b = 5.7485 Å, c = 8.6095 Å
α = 69.74°, β = 74.96°, γ = 67.13°
Last column: nearest neighbours and their distance in Å.
Fractional coordinates of all 9 atoms:
Nd  0.3599  0.5887  0.6916  8 Pt 3.03-3.31, 4 Cu 3.09-3.20
Nd  0.0000  0.0000  0.0000  8 Pt 3.08-3.29
Nd  0.6401  0.4113  0.3084  8 Pt 3.03-3.31, 4 Cu 3.09-3.20
Cu  0.3300  0.9977  0.3422  4 Pt 2.54-2.76
Cu  0.6700  0.0023  0.6578  4 Pt 2.54-2.76
Pt  0.2869  0.3582  0.0680  1 Cu 2.54, 2 Pt 2.75
Pt  0.7131  0.6418  0.9320  1 Cu 2.54, 2 Pt 2.75
Pt  0.0820  0.2378  0.5981  3 Cu 2.54-2.76, 1 Pt 2.81
Pt  0.9180  0.7622  0.4019  3 Cu 2.54-2.76, 1 Pt 2.81

=====

[3]
Compound: NdCuPt4
Source: Alexandria
Functional: PBE
Structure: relaxed

Properties
- energy of formation (meV per atom) = -614.3

a = 5.3713 Å, b = 5.3713 Å, c = 5.3713 Å
α = 60.00°, β = 60.00°, γ = 60.00°
Last column: nearest neighbours and their distance in Å.
Fractional coordinates of all 6 atoms:
Nd  0.2500  0.2500  0.2500  12 Pt 3.15, 4 Cu 3.29
Cu  0.0000  0.0000  0.0000  12 Pt 3.15, 4 Nd 3.29
Pt  0.6257  0.6257  0.1229  6 Pt 2.67-2.70
Pt  0.6257  0.1229  0.6257  6 Pt 2.67-2.70
Pt  0.6257  0.6257  0.6257  6 Pt 2.67-2.70
Pt  0.1229  0.6257  0.6257  6 Pt 2.67-2.70

=====

[4]
Compound: NdCu2Pt5
Source: Alexandria
Functional: PBE
Structure: relaxed

Properties
- energy of formation (meV per atom) = -374.5

a = 3.8396 Å, b = 6.3658 Å, c = 6.3658 Å
α = 72.08°, β = 72.45°, γ = 72.45°
Last column: nearest neighbours and their distance in Å.
Fractional coordinates of all 8 atoms:
Nd  0.0000  0.0000  0.0000  4 Cu 2.96
Cu  0.7354  0.7646  0.7646  7 Pt 2.47-2.63
Cu  0.2646  0.2354  0.2354  7 Pt 2.47-2.63
Pt  0.0000  0.5000  0.5000  2 Cu 2.53, 8 Pt 2.78
Pt  0.6485  0.5411  0.1620  3 Cu 2.47-2.63
Pt  0.3515  0.4589  0.8380  3 Cu 2.47-2.63
Pt  0.3515  0.8380  0.4589  3 Cu 2.47-2.63
Pt  0.6485  0.1620  0.5411  3 Cu 2.47-2.63

=====

[5]
Compound: Nd12CuPt6
Source: Alexandria
Functional: PBE
Structure: relaxed

Properties
- energy of formation (meV per atom) = -675.7

a = 8.5128 Å, b = 8.5128 Å, c = 8.5128 Å
α = 99.87°, β = 99.87°, γ = 99.87°
Last column: nearest neighbours and their distance in Å.
Fractional coordinates of all 19 atoms:
Nd  0.8234  0.5772  0.4175  4 Pt 2.89-3.10
Nd  0.4175  0.8234  0.5772  4 Pt 2.89-3.10
Nd  0.5772  0.4175  0.8234  4 Pt 2.89-3.10
Nd  0.1766  0.4228  0.5825  4 Pt 2.89-3.10
Nd  0.5825  0.1766  0.4228  4 Pt 2.89-3.10
Nd  0.4228  0.5825  0.1766  4 Pt 2.89-3.10
Nd  0.0711  0.9451  0.3218  1 Cu 2.84, 2 Pt 2.94
Nd  0.0549  0.6782  0.9289  1 Cu 2.84, 2 Pt 2.94
Nd  0.6782  0.9289  0.0549  1 Cu 2.84, 2 Pt 2.94
Nd  0.9289  0.0549  0.6782  1 Cu 2.84, 2 Pt 2.94
Nd  0.9451  0.3218  0.0711  1 Cu 2.84, 2 Pt 2.94
Nd  0.3218  0.0711  0.9451  1 Cu 2.84, 2 Pt 2.94
Cu  0.0000  0.0000  0.0000  6 Nd 2.84
Pt  0.6941  0.8651  0.3848  6 Nd 2.89-3.10
Pt  0.6152  0.3059  0.1349  6 Nd 2.89-3.10
Pt  0.1349  0.6152  0.3059  6 Nd 2.89-3.10
Pt  0.3059  0.1349  0.6152  6 Nd 2.89-3.10
Pt  0.3848  0.6941  0.8651  6 Nd 2.89-3.10
Pt  0.8651  0.3848  0.6941  6 Nd 2.89-3.10

=====

[6]
Compound: Nd8Cu3Pt2
Source: Alexandria
Functional: PBE
Structure: relaxed

Properties
- energy of formation (meV per atom) = -334.1

a = 6.5235 Å, b = 7.4559 Å, c = 8.5674 Å
α = 115.79°, β = 100.15°, γ = 90.00°
Last column: nearest neighbours and their distance in Å.
Fractional coordinates of all 13 atoms:
Nd  0.8325  0.5727  0.1455  1 Pt 2.81, 2 Cu 3.05
Nd  0.1675  0.4273  0.8545  1 Pt 2.81, 2 Cu 3.05
Nd  0.8733  0.1727  0.3453  1 Pt 2.96, 3 Cu 3.18-3.24
Nd  0.1267  0.8273  0.6547  1 Pt 2.96, 3 Cu 3.18-3.24
Nd  0.6304  0.6202  0.7381  2 Pt 2.89-2.99, 2 Cu 2.90-2.99
Nd  0.6304  0.1179  0.7381  2 Pt 2.89-2.99, 2 Cu 2.90-2.99
Nd  0.3696  0.8821  0.2619  2 Pt 2.89-2.99, 2 Cu 2.90-2.99
Nd  0.3696  0.3798  0.2619  2 Pt 2.89-2.99, 2 Cu 2.90-2.99
Cu  0.5000  0.0000  0.0000  6 Nd 2.99-3.24
Cu  0.0000  0.1620  0.0000  1 Cu 2.42
Cu  0.0000  0.8380  0.0000  1 Cu 2.42
Pt  0.3136  0.2676  0.5353  6 Nd 2.81-2.99
Pt  0.6864  0.7324  0.4647  6 Nd 2.81-2.99

=====

[7]
Compound: Nd4Cu2Pt
Source: Alexandria
Functional: PBE
Structure: relaxed

Properties
- energy of formation (meV per atom) = -314.9

a = 5.0432 Å, b = 5.0432 Å, c = 8.8198 Å
α = 73.39°, β = 73.39°, γ = 60.00°
Last column: nearest neighbours and their distance in Å.
Fractional coordinates of all 7 atoms:
Nd  0.8755  0.8755  0.3734  4 Cu 3.00-3.05, 1 Pt 3.11
Nd  0.1245  0.1245  0.6266  4 Cu 3.00-3.05, 1 Pt 3.11
Nd  0.6251  0.6251  0.1248  3 Pt 3.09, 4 Cu 3.14-3.25
Nd  0.3749  0.3749  0.8752  3 Pt 3.09, 4 Cu 3.14-3.25
Pt  0.0000  0.0000  0.0000  8 Nd 3.09-3.11
Cu  0.7553  0.7553  0.7340  8 Nd 3.00-3.25
Cu  0.2447  0.2447  0.2660  8 Nd 3.00-3.25

=====

[8]
Compound: Nd2CuPt
Source: Alexandria
Functional: PBE
Structure: relaxed

Properties
- energy of formation (meV per atom) = -693.6

a = 4.5808 Å, b = 5.7465 Å, c = 7.8328 Å
α = 109.88°, β = 90.00°, γ = 90.00°
Last column: nearest neighbours and their distance in Å.
Fractional coordinates of all 8 atoms:
Nd  0.7500  0.2224  0.4345  3 Cu 3.02-3.11, 4 Pt 3.07-3.08
Nd  0.2500  0.7776  0.5655  3 Cu 3.02-3.11, 4 Pt 3.07-3.08
Nd  0.2500  0.7748  0.0716  4 Cu 3.00-3.10, 3 Pt 3.04-3.07
Nd  0.7500  0.2252  0.9284  4 Cu 3.00-3.10, 3 Pt 3.04-3.07
Cu  0.2500  0.3490  0.2115  2 Pt 2.82, 7 Nd 3.00-3.11
Cu  0.7500  0.6510  0.7885  2 Pt 2.82, 7 Nd 3.00-3.11
Pt  0.7500  0.6534  0.2875  2 Cu 2.82, 7 Nd 3.04-3.08
Pt  0.2500  0.3466  0.7125  2 Cu 2.82, 7 Nd 3.04-3.08

=====

Question: What is the energy of formation in the first record?
Answer: -862.9 meV per atom

=====

Question: Number 8 is which compound?
Answer: Nd2CuPt